#1
A geometry-optimized SmMg2Tl3 structure, computed with PBE.

abc: 5.0063 15.1813 4.1227
angles: 90.00 90.00 90.00
Last column: nearest neighbours and their distance in Å.
Fractional positions:
Sm 0.0000 0.0000 0.0000  8 Tl 3.24-3.32, 4 Mg 3.60
Sm 0.5000 0.5000 0.0000  8 Tl 3.24-3.32, 4 Mg 3.60
Mg 0.0000 0.3299 0.0000  8 Tl 3.17-3.30, 2 Mg 3.49
Mg 0.0000 0.6701 0.0000  8 Tl 3.17-3.30, 2 Mg 3.49
Mg 0.5000 0.1701 0.0000  8 Tl 3.17-3.30, 2 Mg 3.49
Mg 0.5000 0.8299 0.0000  8 Tl 3.17-3.30, 2 Mg 3.49
Tl 0.0000 0.1713 0.5000  6 Mg 3.17-3.24, 2 Sm 3.32, 2 Tl 3.46
Tl 0.0000 0.5000 0.5000  4 Sm 3.24, 4 Mg 3.30, 4 Tl 3.61
Tl 0.0000 0.8287 0.5000  6 Mg 3.17-3.24, 2 Sm 3.32, 2 Tl 3.46
Tl 0.5000 0.0000 0.5000  4 Sm 3.24, 4 Mg 3.30, 4 Tl 3.61
Tl 0.5000 0.3287 0.5000  6 Mg 3.17-3.24, 2 Sm 3.32, 2 Tl 3.46
Tl 0.5000 0.6713 0.5000  6 Mg 3.17-3.24, 2 Sm 3.32, 2 Tl 3.46

Summary:
- Crystal system: orthorhombic
- Mass density: 8.61 g cm⁻³
- Total magnetic moment: 0.00 Bohr magnetons per cell
- Fermi-level density of states: 5.469 states/eV per cell

#2
A geometry-optimized SmMg2Tl3 structure, computed with PBE.

abc: 9.2580 9.2580 10.2351
angles: 122.31 122.31 26.38
Last column: nearest neighbours and their distance in Å.
Fractional positions:
Sm 0.0830 0.0830 0.4418  6 Tl 3.30-3.51, 4 Mg 3.37-3.42
Sm 0.9170 0.9170 0.5582  6 Tl 3.30-3.51, 4 Mg 3.37-3.42
Mg 0.2533 0.2533 0.8757  6 Tl 3.13-3.40, 4 Mg 3.19-3.36
Mg 0.4050 0.4050 0.2904  3 Tl 3.14-3.27, 2 Mg 3.19, 4 Sm 3.37-3.42
Mg 0.5950 0.5950 0.7096  3 Tl 3.14-3.27, 2 Mg 3.19, 4 Sm 3.37-3.42
Mg 0.7467 0.7467 0.1243  6 Tl 3.13-3.40, 4 Mg 3.19-3.36
Tl 0.0962 0.0962 0.9379  5 Mg 3.13-3.23, 1 Sm 3.43, 4 Tl 3.44-3.45
Tl 0.2501 0.2501 0.3645  3 Mg 3.22-3.27, 3 Sm 3.30-3.51, 4 Tl 3.31-3.49
Tl 0.4188 0.4188 0.8105  7 Tl 3.31-3.45, 2 Sm 3.32, 1 Mg 3.40
Tl 0.5812 0.5812 0.1895  7 Tl 3.31-3.45, 2 Sm 3.32, 1 Mg 3.40
Tl 0.7499 0.7499 0.6355  3 Mg 3.22-3.27, 3 Sm 3.30-3.51, 4 Tl 3.31-3.49
Tl 0.9038 0.9038 0.0621  5 Mg 3.13-3.23, 1 Sm 3.43, 4 Tl 3.44-3.45

Summary:
- Crystal system: monoclinic
- Mass density: 8.28 g cm⁻³
- Total magnetic moment: 0.00 Bohr magnetons per cell
- Fermi-level density of states: 7.387 states/eV per cell

Quick one: most stable of them? #1

#1
A geometry-optimized Sm2TmMg2 structure, computed with PBE.

abc: 14.1315 14.1315 5.4278
angles: 90.00 90.00 164.57
Last column: nearest neighbours and their distance in Å.
Fractional positions:
Sm 0.0447 0.9553 0.7500  8 Mg 3.28-3.38
Sm 0.2369 0.7631 0.7500  2 Mg 3.31, 4 Sm 3.39, 4 Tm 3.63-3.67
Sm 0.7631 0.2369 0.2500  2 Mg 3.31, 4 Sm 3.39, 4 Tm 3.63-3.67
Sm 0.9553 0.0447 0.2500  8 Mg 3.28-3.38
Tm 0.1508 0.8492 0.2500  6 Mg 3.28-3.32, 2 Sm 3.63
Tm 0.8492 0.1508 0.7500  6 Mg 3.28-3.32, 2 Sm 3.63
Mg 0.3599 0.6401 0.2500  4 Sm 3.28-3.31, 4 Tm 3.32, 2 Mg 3.61
Mg 0.4448 0.5552 0.7500  2 Tm 3.28, 6 Sm 3.32-3.38, 2 Mg 3.61
Mg 0.5552 0.4448 0.2500  2 Tm 3.28, 6 Sm 3.32-3.38, 2 Mg 3.61
Mg 0.6401 0.3599 0.7500  4 Sm 3.28-3.31, 4 Tm 3.32, 2 Mg 3.61

Summary:
- Crystal system: orthorhombic
- Mass density: 5.97 g cm⁻³
- Total magnetic moment: 0.00 Bohr magnetons per cell
- Fermi-level density of states: 10.821 states/eV per cell

#2
A geometry-optimized Sm2TmMg2 structure, computed with PBE.

abc: 5.2311 6.9043 8.2628
angles: 90.00 90.00 90.00
Last column: nearest neighbours and their distance in Å.
Fractional positions:
Sm 0.0000 0.0000 0.1954  6 Mg 3.21-3.40, 1 Sm 3.23
Sm 0.0000 0.0000 0.8046  6 Mg 3.21-3.40, 1 Sm 3.23
Sm 0.5000 0.5000 0.3046  6 Mg 3.21-3.40, 1 Sm 3.23
Sm 0.5000 0.5000 0.6954  6 Mg 3.21-3.40, 1 Sm 3.23
Tm 0.0000 0.5000 0.0000  4 Mg 3.29, 4 Sm 3.63
Tm 0.5000 0.0000 0.5000  4 Mg 3.29, 4 Sm 3.63
Mg 0.0000 0.2896 0.5000  1 Mg 2.91, 2 Sm 3.21
Mg 0.0000 0.7104 0.5000  1 Mg 2.91, 2 Sm 3.21
Mg 0.5000 0.2104 0.0000  1 Mg 2.91, 2 Sm 3.21
Mg 0.5000 0.7896 0.0000  1 Mg 2.91, 2 Sm 3.21

Summary:
- Crystal system: orthorhombic
- Mass density: 5.77 g cm⁻³
- Total magnetic moment: 0.00 Bohr magnetons per cell
- Fermi-level density of states: 14.736 states/eV per cell

Quick one: most stable of them? #1

#1
A geometry-optimized SmTmMg structure, computed with PBE.

abc: 5.4481 5.4481 3.3927
angles: 90.00 90.00 120.00
Last column: nearest neighbours and their distance in Å.
Fractional positions:
Sm 0.0000 0.0000 0.0000  3 Mg 3.31, 2 Sm 3.39, 6 Tm 3.47-3.69
Tm 0.3333 0.6667 0.5700  3 Mg 3.27, 2 Tm 3.39, 3 Sm 3.47
Mg 0.6667 0.3333 0.3083  3 Tm 3.27, 3 Sm 3.31, 2 Mg 3.39

Summary:
- Crystal system: trigonal
- Mass density: 6.54 g cm⁻³
- Total magnetic moment: 0.00 Bohr magnetons per cell
- Fermi-level density of states: 3.938 states/eV per cell

#2
A geometry-optimized SmTmMg structure, computed with PBE.

abc: 4.6575 4.6575 8.3632
angles: 90.00 90.00 90.00
Last column: nearest neighbours and their distance in Å.
Fractional positions:
Sm 0.2500 0.2500 0.1616  5 Tm 3.37-3.40, 4 Mg 3.67
Sm 0.7500 0.7500 0.8384  5 Tm 3.37-3.40, 4 Mg 3.67
Tm 0.2500 0.2500 0.7552  4 Mg 3.16, 5 Sm 3.37-3.40
Tm 0.7500 0.7500 0.2448  4 Mg 3.16, 5 Sm 3.37-3.40
Mg 0.2500 0.7500 0.5000  4 Tm 3.16, 4 Mg 3.29
Mg 0.7500 0.2500 0.5000  4 Tm 3.16, 4 Mg 3.29

Summary:
- Crystal system: tetragonal
- Mass density: 6.29 g cm⁻³
- Total magnetic moment: 0.01 Bohr magnetons per cell
- Fermi-level density of states: 9.420 states/eV per cell

Quick one: most stable of them? #1

#1
A geometry-optimized SmTmMg structure, computed with PBE.

abc: 3.7044 3.7044 12.7064
angles: 90.00 90.00 90.00
Last column: nearest neighbours and their distance in Å.
Fractional positions:
Sm 0.0000 0.0000 0.0000  8 Mg 3.30-3.31
Sm 0.0000 0.0000 0.3209  4 Mg 3.33, 4 Tm 3.55, 4 Sm 3.70
Tm 0.0000 0.0000 0.6917  4 Mg 3.24, 4 Tm 3.50
Tm 0.5000 0.5000 0.5096  8 Tm 3.50-3.70, 4 Sm 3.55
Mg 0.5000 0.5000 0.1592  8 Sm 3.31-3.33, 4 Mg 3.70
Mg 0.5000 0.5000 0.8419  4 Tm 3.24, 4 Sm 3.30

Summary:
- Crystal system: tetragonal
- Mass density: 6.54 g cm⁻³
- Total magnetic moment: 0.00 Bohr magnetons per cell
- Fermi-level density of states: 7.407 states/eV per cell

#2
A geometry-optimized SmTmMg structure, computed with PBE.

abc: 3.4378 9.4096 5.4277
angles: 90.00 90.00 90.00
Last column: nearest neighbours and their distance in Å.
Fractional positions:
Sm 0.0000 0.0796 0.0000  4 Sm 3.10-3.44, 1 Mg 3.20
Sm 0.0000 0.9204 0.5000  4 Sm 3.10-3.44, 1 Mg 3.20
Tm 0.5003 0.2609 0.4998  2 Tm 3.44, 6 Mg 3.46-3.55, 6 Sm 3.64
Tm 0.5003 0.7391 0.9998  2 Tm 3.44, 6 Mg 3.46-3.55, 6 Sm 3.64
Mg 0.0009 0.4200 0.9994  4 Mg 3.10-3.44, 1 Sm 3.20, 2 Tm 3.46
Mg 0.0009 0.5800 0.4994  4 Mg 3.10-3.44, 1 Sm 3.20, 2 Tm 3.46

Summary:
- Crystal system: monoclinic
- Mass density: 6.50 g cm⁻³
- Total magnetic moment: 0.00 Bohr magnetons per cell
- Fermi-level density of states: 7.154 states/eV per cell

Quick one: most stable of them? #1

#1
A geometry-optimized SmTm2Mg structure, computed with PBE.

abc: 7.7536 7.7536 7.7536
angles: 90.00 90.00 90.00
Last column: nearest neighbours and their distance in Å.
Fractional positions:
Sm 0.0000 0.0000 0.0000  8 Tm 3.36
Sm 0.0000 0.5000 0.5000  8 Tm 3.36
Sm 0.5000 0.0000 0.5000  8 Tm 3.36
Sm 0.5000 0.5000 0.0000  8 Tm 3.36
Tm 0.2500 0.2500 0.2500  4 Mg 3.36, 4 Sm 3.36
Tm 0.2500 0.2500 0.7500  4 Mg 3.36, 4 Sm 3.36
Tm 0.2500 0.7500 0.2500  4 Mg 3.36, 4 Sm 3.36
Tm 0.2500 0.7500 0.7500  4 Mg 3.36, 4 Sm 3.36
Tm 0.7500 0.2500 0.2500  4 Mg 3.36, 4 Sm 3.36
Tm 0.7500 0.2500 0.7500  4 Mg 3.36, 4 Sm 3.36
Tm 0.7500 0.7500 0.2500  4 Mg 3.36, 4 Sm 3.36
Tm 0.7500 0.7500 0.7500  4 Mg 3.36, 4 Sm 3.36
Mg 0.0000 0.0000 0.5000  8 Tm 3.36
Mg 0.0000 0.5000 0.0000  8 Tm 3.36
Mg 0.5000 0.0000 0.0000  8 Tm 3.36
Mg 0.5000 0.5000 0.5000  8 Tm 3.36

Summary:
- Crystal system: cubic
- Mass density: 7.30 g cm⁻³
- Total magnetic moment: 0.03 Bohr magnetons per cell
- Fermi-level density of states: 23.075 states/eV per cell

#2
A geometry-optimized SmTm2Mg structure, computed with PBE.

abc: 3.4323 3.4323 36.5433
angles: 90.00 90.00 120.00
Last column: nearest neighbours and their distance in Å.
Fractional positions:
Sm 0.0000 0.0000 0.0000  6 Sm 3.43, 6 Tm 3.47
Sm 0.3333 0.6667 0.6667  6 Sm 3.43, 6 Tm 3.47
Sm 0.6667 0.3333 0.3333  6 Sm 3.43, 6 Tm 3.47
Tm 0.0000 0.0000 0.4113  1 Mg 3.24, 6 Tm 3.43, 3 Sm 3.47
Tm 0.0000 0.0000 0.5887  1 Mg 3.24, 6 Tm 3.43, 3 Sm 3.47
Tm 0.3333 0.6667 0.0780  1 Mg 3.24, 6 Tm 3.43, 3 Sm 3.47
Tm 0.3333 0.6667 0.2553  1 Mg 3.24, 6 Tm 3.43, 3 Sm 3.47
Tm 0.6667 0.3333 0.7447  1 Mg 3.24, 6 Tm 3.43, 3 Sm 3.47
Tm 0.6667 0.3333 0.9220  1 Mg 3.24, 6 Tm 3.43, 3 Sm 3.47
Mg 0.0000 0.0000 0.5000  2 Tm 3.24, 6 Mg 3.43
Mg 0.3333 0.6667 0.1667  2 Tm 3.24, 6 Mg 3.43
Mg 0.6667 0.3333 0.8333  2 Tm 3.24, 6 Mg 3.43

Summary:
- Crystal system: trigonal
- Mass density: 6.85 g cm⁻³
- Total magnetic moment: 0.00 Bohr magnetons per cell
- Fermi-level density of states: 13.888 states/eV per cell

#3
A geometry-optimized SmTm2Mg structure, computed with PBE.

abc: 5.0349 5.0349 18.5621
angles: 90.00 90.00 90.00
Last column: nearest neighbours and their distance in Å.
Fractional positions:
Sm 0.0000 0.0000 0.1281  4 Mg 3.39, 8 Tm 3.46-3.56
Sm 0.0000 0.0000 0.8719  4 Mg 3.39, 8 Tm 3.46-3.56
Sm 0.5000 0.5000 0.3719  4 Mg 3.39, 8 Tm 3.46-3.56
Sm 0.5000 0.5000 0.6281  4 Mg 3.39, 8 Tm 3.46-3.56
Tm 0.0000 0.0000 0.3679  4 Mg 3.34, 4 Tm 3.51, 4 Sm 3.56
Tm 0.0000 0.0000 0.6321  4 Mg 3.34, 4 Tm 3.51, 4 Sm 3.56
Tm 0.0000 0.5000 0.0000  4 Sm 3.46, 8 Tm 3.51-3.56
Tm 0.0000 0.5000 0.5000  4 Sm 3.46, 8 Tm 3.51-3.56
Tm 0.5000 0.0000 0.0000  4 Sm 3.46, 8 Tm 3.51-3.56
Tm 0.5000 0.0000 0.5000  4 Sm 3.46, 8 Tm 3.51-3.56
Tm 0.5000 0.5000 0.1321  4 Mg 3.34, 4 Tm 3.51, 4 Sm 3.56
Tm 0.5000 0.5000 0.8679  4 Mg 3.34, 4 Tm 3.51, 4 Sm 3.56
Mg 0.0000 0.5000 0.2500  4 Tm 3.34, 4 Sm 3.39, 4 Mg 3.56
Mg 0.0000 0.5000 0.7500  4 Tm 3.34, 4 Sm 3.39, 4 Mg 3.56
Mg 0.5000 0.0000 0.2500  4 Tm 3.34, 4 Sm 3.39, 4 Mg 3.56
Mg 0.5000 0.0000 0.7500  4 Tm 3.34, 4 Sm 3.39, 4 Mg 3.56

Summary:
- Crystal system: tetragonal
- Mass density: 7.23 g cm⁻³
- Total magnetic moment: 0.00 Bohr magnetons per cell
- Fermi-level density of states: 15.537 states/eV per cell

#4
A geometry-optimized SmTm2Mg structure, computed with PBE.

abc: 3.4830 3.4830 33.9629
angles: 90.00 90.00 120.00
Last column: nearest neighbours and their distance in Å.
Fractional positions:
Sm 0.0000 0.0000 0.0000  6 Sm 3.48, 6 Tm 3.52-3.53
Sm 0.3333 0.6667 0.6667  6 Sm 3.48, 6 Tm 3.52-3.53
Sm 0.6667 0.3333 0.3333  6 Sm 3.48, 6 Tm 3.52-3.53
Tm 0.0000 0.0000 0.4188  3 Mg 3.42, 6 Tm 3.48, 3 Sm 3.53
Tm 0.0000 0.0000 0.5817  3 Mg 3.43, 6 Tm 3.48, 3 Sm 3.52
Tm 0.3333 0.6667 0.0854  3 Mg 3.42, 6 Tm 3.48, 3 Sm 3.53
Tm 0.3333 0.6667 0.2484  3 Mg 3.43, 6 Tm 3.48, 3 Sm 3.52
Tm 0.6667 0.3333 0.7521  3 Mg 3.42, 6 Tm 3.48, 3 Sm 3.53
Tm 0.6667 0.3333 0.9151  3 Mg 3.43, 6 Tm 3.48, 3 Sm 3.52
Mg 0.0000 0.0000 0.1668  6 Tm 3.42-3.43, 6 Mg 3.48
Mg 0.3333 0.6667 0.8334  6 Tm 3.42-3.43, 6 Mg 3.48
Mg 0.6667 0.3333 0.5001  6 Tm 3.42-3.43, 6 Mg 3.48

Summary:
- Crystal system: trigonal
- Mass density: 7.16 g cm⁻³
- Total magnetic moment: 0.00 Bohr magnetons per cell
- Fermi-level density of states: 18.896 states/eV per cell

Quick one: most stable of them? #3

#1
A geometry-optimized SmTm2Mg structure, computed with PBE.

abc: 3.5756 3.5756 9.1807
angles: 90.00 90.00 90.00
Last column: nearest neighbours and their distance in Å.
Fractional positions:
Sm 0.0000 0.0000 0.0000  8 Tm 3.53, 4 Sm 3.58
Tm 0.5000 0.5000 0.2691  4 Mg 3.30, 4 Sm 3.53, 4 Tm 3.58
Tm 0.5000 0.5000 0.7309  4 Mg 3.30, 4 Sm 3.53, 4 Tm 3.58
Mg 0.0000 0.0000 0.5000  8 Tm 3.30, 4 Mg 3.58

Summary:
- Crystal system: tetragonal
- Mass density: 7.25 g cm⁻³
- Total magnetic moment: 0.00 Bohr magnetons per cell
- Fermi-level density of states: 4.584 states/eV per cell

#2
A geometry-optimized SmTm2Mg structure, computed with PBE.

abc: 4.8746 4.8746 4.9410
angles: 90.00 90.00 90.00
Last column: nearest neighbours and their distance in Å.
Fractional positions:
Sm 0.0000 0.0000 0.0000  4 Mg 3.45, 8 Tm 3.47
Tm 0.0000 0.5000 0.5000  4 Tm 3.45, 4 Mg 3.47, 4 Sm 3.47
Tm 0.5000 0.0000 0.5000  4 Tm 3.45, 4 Mg 3.47, 4 Sm 3.47
Mg 0.5000 0.5000 0.0000  4 Sm 3.45, 8 Tm 3.47

Summary:
- Crystal system: tetragonal
- Mass density: 7.25 g cm⁻³
- Total magnetic moment: 0.00 Bohr magnetons per cell
- Fermi-level density of states: 7.009 states/eV per cell

Quick one: most stable of them? #1